Version 1
VASP calculation (PBE) on ZrAs2PbBr after structural relaxation.

Summary:
Calculated volume in Å³ per cell: 146.43
Space group: P4/mmm
Total magnetic moment in μB per formula unit: 0.0

abc: 5.256 5.256 5.300
angles: 90.00 90.00 90.00
Element x y z (fractional)
Zr1 0.000 0.000 0.000
As1 0.000 0.500 0.000
As2 0.500 0.000 0.000
Pb1 0.500 0.500 0.500
Br1 0.000 0.000 0.500

---

Version 2
VASP calculation (PBE) on ZrAs2PbBr after structural relaxation.

Summary:
Calculated volume in Å³ per cell: 155.23
Space group: P4/mmm
Total magnetic moment in μB per formula unit: 1.1

abc: 5.339 5.339 5.446
angles: 90.00 90.00 90.00
Element x y z (fractional)
Zr1 0.000 0.000 0.000
As1 0.000 0.500 0.500
As2 0.500 0.000 0.500
Pb1 0.500 0.500 0.500
Br1 0.500 0.500 0.000

---

In terms of stability, version 1 leads; the second structure lies 1055 meV/atom higher.

---

Version 1
VASP calculation (PBE) on As2PdBr after structural relaxation.

Summary:
Calculated volume in Å³ per cell: 220.22
Space group: I-42d
Total magnetic moment in μB per formula unit: 0.0

abc: 7.039 7.039 7.039
angles: 126.04 126.04 79.82
Element x y z (fractional)
As1 0.056 0.625 0.931
As2 0.375 0.306 0.431
As3 0.694 0.125 0.069
As4 0.875 0.944 0.569
Pd1 0.000 0.000 0.000
Pd2 0.750 0.250 0.500
Br1 0.250 0.750 0.500
Br2 0.500 0.500 0.000

---

Version 2
VASP calculation (PBE) on As2PdBr after structural relaxation.

Summary:
Calculated volume in Å³ per cell: 76.04
Space group: Fm-3m
Total magnetic moment in μB per formula unit: 0.0

abc: 4.755 4.755 4.755
angles: 60.00 60.00 60.00
Element x y z (fractional)
As1 0.250 0.250 0.250
As2 0.750 0.750 0.750
Pd1 0.000 0.000 0.000
Br1 0.500 0.500 0.500

---

In terms of stability, version 1 leads; the second structure lies 282 meV/atom higher.

---

Version 1
VASP calculation (PBE) on RbAsPdBr2 after structural relaxation.

Summary:
Calculated volume in Å³ per cell: 278.30
Space group: P4/mmm
Total magnetic moment in μB per formula unit: 1.9

abc: 6.441 6.441 6.708
angles: 90.00 90.00 90.00
Element x y z (fractional)
Rb1 0.000 0.000 0.000
As1 0.000 0.000 0.500
Pd1 0.500 0.500 0.500
Br1 0.000 0.500 0.000
Br2 0.500 0.000 0.000

---

Version 2
VASP calculation (PBE) on RbAsPdBr2 after structural relaxation.

Summary:
Calculated volume in Å³ per cell: 150.72
Space group: P4/mmm
Total magnetic moment in μB per formula unit: 0.6

abc: 5.652 5.652 4.718
angles: 90.00 90.00 90.00
Element x y z (fractional)
Rb1 0.000 0.000 0.000
As1 0.500 0.500 0.000
Pd1 0.500 0.500 0.500
Br1 0.000 0.500 0.500
Br2 0.500 0.000 0.500

---

In terms of stability, version 2 leads; the second structure lies 1230 meV/atom higher.

---

Version 1
VASP calculation (PBE) on AsPdSBr2 after structural relaxation.

Summary:
Calculated volume in Å³ per cell: 127.76
Space group: P4/mmm
Total magnetic moment in μB per formula unit: 0.7

abc: 5.015 5.015 5.079
angles: 90.00 90.00 90.00
Element x y z (fractional)
As1 0.000 0.000 0.000
Pd1 0.000 0.000 0.500
S1 0.500 0.500 0.000
Br1 0.000 0.500 0.500
Br2 0.500 0.000 0.500

---

Version 2
VASP calculation (PBE) on AsPdSBr2 after structural relaxation.

Summary:
Calculated volume in Å³ per cell: 128.19
Space group: P4/mmm
Total magnetic moment in μB per formula unit: 0.0

abc: 5.159 5.159 4.816
angles: 90.00 90.00 90.00
Element x y z (fractional)
As1 0.000 0.000 0.000
Pd1 0.500 0.500 0.000
S1 0.000 0.000 0.500
Br1 0.000 0.500 0.500
Br2 0.500 0.000 0.500

---

In terms of stability, version 1 leads; the second structure lies 216 meV/atom higher.

---

Version 1
VASP calculation (PBE) on ScAs2PdBr after structural relaxation.

Summary:
Calculated volume in Å³ per cell: 120.18
Space group: P4/mmm
Total magnetic moment in μB per formula unit: 0.0

abc: 4.857 4.857 5.095
angles: 90.00 90.00 90.00
Element x y z (fractional)
Sc1 0.000 0.000 0.000
As1 0.000 0.500 0.500
As2 0.500 0.000 0.500
Pd1 0.500 0.500 0.500
Br1 0.500 0.500 0.000

---

Version 2
VASP calculation (PBE) on ScAs2PdBr after structural relaxation.

Summary:
Calculated volume in Å³ per cell: 134.88
Space group: P4/mmm
Total magnetic moment in μB per formula unit: 0.0

abc: 5.147 5.147 5.091
angles: 90.00 90.00 90.00
Element x y z (fractional)
Sc1 0.000 0.000 0.000
As1 0.000 0.500 0.000
As2 0.500 0.000 0.000
Pd1 0.500 0.500 0.500
Br1 0.000 0.000 0.500

---

In terms of stability, version 1 leads; the second structure lies 146 meV/atom higher.

---

Version 1
VASP calculation (PBE) on SiAs2PdBr after structural relaxation.

Summary:
Calculated volume in Å³ per cell: 112.90
Space group: P4/mmm
Total magnetic moment in μB per formula unit: 0.0

abc: 4.796 4.796 4.908
angles: 90.00 90.00 90.00
Element x y z (fractional)
Si1 0.000 0.000 0.000
As1 0.000 0.500 0.000
As2 0.500 0.000 0.000
Pd1 0.500 0.500 0.500
Br1 0.000 0.000 0.500

---

Version 2
VASP calculation (PBE) on SiAs2PdBr after structural relaxation.

Summary:
Calculated volume in Å³ per cell: 122.56
Space group: P4/mmm
Total magnetic moment in μB per formula unit: 1.0

abc: 4.863 4.863 5.182
angles: 90.00 90.00 90.00
Element x y z (fractional)
Si1 0.000 0.000 0.000
As1 0.000 0.500 0.500
As2 0.500 0.000 0.500
Pd1 0.500 0.500 0.500
Br1 0.500 0.500 0.000

---

In terms of stability, version 1 leads; the second structure lies 20 meV/atom higher.

---

Version 1
VASP calculation (PBE) on SiAsPdBr2 after structural relaxation.

Summary:
Calculated volume in Å³ per cell: 127.60
Space group: P4/mmm
Total magnetic moment in μB per formula unit: 0.0

abc: 5.071 5.071 4.963
angles: 90.00 90.00 90.00
Element x y z (fractional)
Si1 0.000 0.000 0.000
As1 0.500 0.500 0.000
Pd1 0.500 0.500 0.500
Br1 0.000 0.500 0.500
Br2 0.500 0.000 0.500

---

Version 2
VASP calculation (PBE) on SiAsPdBr2 after structural relaxation.

Summary:
Calculated volume in Å³ per cell: 123.51
Space group: P4/mmm
Total magnetic moment in μB per formula unit: 0.0

abc: 4.961 4.961 5.018
angles: 90.00 90.00 90.00
Element x y z (fractional)
Si1 0.000 0.000 0.000
As1 0.000 0.000 0.500
Pd1 0.500 0.500 0.500
Br1 0.000 0.500 0.000
Br2 0.500 0.000 0.000

---

In terms of stability, version 1 leads; the second structure lies 24 meV/atom higher.

---

Version 1
VASP calculation (PBE) on SrAsPdBr2 after structural relaxation.

Summary:
Calculated volume in Å³ per cell: 215.21
Space group: P4/mmm
Total magnetic moment in μB per formula unit: 3.0

abc: 5.850 5.850 6.287
angles: 90.00 90.00 90.00
Element x y z (fractional)
Sr1 0.000 0.000 0.000
As1 0.000 0.000 0.500
Pd1 0.500 0.500 0.500
Br1 0.000 0.500 0.000
Br2 0.500 0.000 0.000

---

Version 2
VASP calculation (PBE) on SrAsPdBr2 after structural relaxation.

Summary:
Calculated volume in Å³ per cell: 137.81
Space group: P4/mmm
Total magnetic moment in μB per formula unit: 0.7

abc: 5.247 5.247 5.005
angles: 90.00 90.00 90.00
Element x y z (fractional)
Sr1 0.000 0.000 0.000
As1 0.500 0.500 0.000
Pd1 0.500 0.500 0.500
Br1 0.000 0.500 0.500
Br2 0.500 0.000 0.500

---

In terms of stability, version 2 leads; the second structure lies 691 meV/atom higher.

---

Version 1
VASP calculation (PBE) on TaAsPdBr2 after structural relaxation.

Summary:
Calculated volume in Å³ per cell: 122.63
Space group: P4/mmm
Total magnetic moment in μB per formula unit: 2.1

abc: 4.939 4.939 5.027
angles: 90.00 90.00 90.00
Element x y z (fractional)
Ta1 0.000 0.000 0.000
As1 0.500 0.500 0.000
Pd1 0.500 0.500 0.500
Br1 0.000 0.500 0.500
Br2 0.500 0.000 0.500

---

Version 2
VASP calculation (PBE) on TaAsPdBr2 after structural relaxation.

Summary:
Calculated volume in Å³ per cell: 131.07
Space group: P4/mmm
Total magnetic moment in μB per formula unit: 0.0

abc: 5.081 5.081 5.077
angles: 90.00 90.00 90.00
Element x y z (fractional)
Ta1 0.000 0.000 0.000
As1 0.000 0.000 0.500
Pd1 0.500 0.500 0.500
Br1 0.000 0.500 0.000
Br2 0.500 0.000 0.000

---

In terms of stability, version 2 leads; the second structure lies 572 meV/atom higher.

---

Version 1
VASP calculation (PBE) on TiAs2PdBr after structural relaxation.

Summary:
Calculated volume in Å³ per cell: 120.15
Space group: P4/mmm
Total magnetic moment in μB per formula unit: 1.1

abc: 4.840 4.840 5.129
angles: 90.00 90.00 90.00
Element x y z (fractional)
Ti1 0.000 0.000 0.000
As1 0.000 0.500 0.500
As2 0.500 0.000 0.500
Pd1 0.500 0.500 0.500
Br1 0.500 0.500 0.000

---

Version 2
VASP calculation (PBE) on TiAs2PdBr after structural relaxation.

Summary:
Calculated volume in Å³ per cell: 122.08
Space group: P4/mmm
Total magnetic moment in μB per formula unit: 0.7

abc: 4.708 4.708 5.507
angles: 90.00 90.00 90.00
Element x y z (fractional)
Ti1 0.000 0.000 0.000
As1 0.000 0.500 0.500
As2 0.500 0.000 0.500
Pd1 0.000 0.000 0.500
Br1 0.500 0.500 0.000

---

In terms of stability, version 2 leads; the second structure lies 19 meV/atom higher.

---

Version 1
VASP calculation (PBE) on TlAsPdBr2 after structural relaxation.

Summary:
Calculated volume in Å³ per cell: 176.44
Space group: P4/mmm
Total magnetic moment in μB per formula unit: 1.7

abc: 5.679 5.679 5.470
angles: 90.00 90.00 90.00
Element x y z (fractional)
Tl1 0.000 0.000 0.000
As1 0.000 0.000 0.500
Pd1 0.500 0.500 0.500
Br1 0.000 0.500 0.000
Br2 0.500 0.000 0.000

---

Version 2
VASP calculation (PBE) on TlAsPdBr2 after structural relaxation.

Summary:
Calculated volume in Å³ per cell: 145.15
Space group: P4/mmm
Total magnetic moment in μB per formula unit: 0.0

abc: 5.552 5.552 4.708
angles: 90.00 90.00 90.00
Element x y z (fractional)
Tl1 0.000 0.000 0.000
As1 0.500 0.500 0.000
Pd1 0.500 0.500 0.500
Br1 0.000 0.500 0.500
Br2 0.500 0.000 0.500

---

In terms of stability, version 2 leads; the second structure lies 804 meV/atom higher.

---

Version 1
VASP calculation (PBE) on YAs2PdBr after structural relaxation.

Summary:
Calculated volume in Å³ per cell: 162.48
Space group: P4/mmm
Total magnetic moment in μB per formula unit: 0.0

abc: 5.487 5.487 5.396
angles: 90.00 90.00 90.00
Element x y z (fractional)
Y1 0.000 0.000 0.000
As1 0.000 0.500 0.000
As2 0.500 0.000 0.000
Pd1 0.500 0.500 0.500
Br1 0.000 0.000 0.500

---

Version 2
VASP calculation (PBE) on YAs2PdBr after structural relaxation.

Summary:
Calculated volume in Å³ per cell: 121.69
Space group: P4/mmm
Total magnetic moment in μB per formula unit: 0.0

abc: 4.888 4.888 5.093
angles: 90.00 90.00 90.00
Element x y z (fractional)
Y1 0.000 0.000 0.000
As1 0.000 0.500 0.500
As2 0.500 0.000 0.500
Pd1 0.500 0.500 0.500
Br1 0.500 0.500 0.000

---

In terms of stability, version 2 leads; the second structure lies 534 meV/atom higher.